[1]
Entry from Alexandria via LeMat-Bulk: a relaxed structure of NdGaAg (PBE-GGA). Values from VASP.

Values from the calculation:
DFT formation energy, meV per atom: -471
SG: C2/m (12)

Quantum ESPRESSO input file:
```
&SYSTEM
  ibrav = 0, nat = 6, ntyp = 3
/
ATOMIC_SPECIES
Nd 144.24 Nd.upf
Ga 69.72 Ga.upf
Ag 107.87 Ag.upf
CELL_PARAMETERS angstrom
-2.4110 -3.9634 -0.6191
0.1227 -1.9475 -5.7014
3.2216 -4.8051 0.5248
ATOMIC_POSITIONS crystal
Nd 0.5325 0.2096 0.7253
Nd 0.4675 0.7904 0.2747
Ga 0.1579 0.3864 0.2979
Ga 0.8421 0.6136 0.7021
Ag 0.8260 0.2237 0.1244
Ag 0.1740 0.7763 0.8756
```


[2]
Entry from Alexandria via LeMat-Bulk: a relaxed structure of Mn5Sn3S12 (PBE-GGA). Values from VASP.

Values from the calculation:
ΔE_f (raw), eV/f.u.: -8.056
SG: Ia-3d (230)

Quantum ESPRESSO input file:
```
&SYSTEM
  ibrav = 0, nat = 80, ntyp = 3
/
ATOMIC_SPECIES
Sn 118.71 Sn.upf
Mn 54.94 Mn.upf
S 32.06 S.upf
CELL_PARAMETERS angstrom
12.9577 0.0000 0.0000
-4.3192 12.2167 0.0000
-4.3192 -6.1083 10.5799
ATOMIC_POSITIONS crystal
Sn 0.7500 0.3750 0.1250
Sn 0.8750 0.7500 0.1250
Sn 0.3750 0.7500 0.6250
Sn 0.2500 0.1250 0.3750
Sn 0.8750 0.1250 0.2500
Sn 0.3750 0.6250 0.2500
Sn 0.6250 0.3750 0.7500
Sn 0.1250 0.8750 0.7500
Sn 0.7500 0.8750 0.6250
Sn 0.6250 0.2500 0.3750
Sn 0.1250 0.2500 0.8750
Sn 0.2500 0.6250 0.8750
Mn 0.1250 0.3750 0.2500
Mn 0.0000 0.5000 0.0000
Mn 0.0000 0.0000 0.0000
Mn 0.3750 0.2500 0.1250
Mn 0.5000 0.0000 0.5000
Mn 0.5000 0.5000 0.0000
Mn 0.1250 0.7500 0.3750
Mn 0.7500 0.1250 0.8750
Mn 0.7500 0.6250 0.3750
Mn 0.3750 0.1250 0.7500
Mn 0.6250 0.8750 0.2500
Mn 0.5000 0.5000 0.5000
Mn 0.5000 0.0000 0.0000
Mn 0.0000 0.0000 0.5000
Mn 0.2500 0.3750 0.6250
Mn 0.2500 0.8750 0.1250
Mn 0.0000 0.5000 0.5000
Mn 0.8750 0.2500 0.6250
Mn 0.6250 0.7500 0.8750
Mn 0.8750 0.6250 0.7500
S 0.7005 0.1230 0.0233
S 0.3228 0.5233 0.4003
S 0.9767 0.3770 0.2995
S 0.5233 0.2005 0.1230
S 0.5775 0.7005 0.6772
S 0.9767 0.5997 0.1772
S 0.3228 0.7995 0.4225
S 0.0997 0.9225 0.1230
S 0.5997 0.9767 0.6772
S 0.7005 0.5775 0.1772
S 0.7995 0.4767 0.3770
S 0.8228 0.9003 0.0233
S 0.1230 0.7005 0.5233
S 0.3770 0.4003 0.0775
S 0.0775 0.9003 0.3770
S 0.4225 0.1230 0.5997
S 0.0775 0.1772 0.2005
S 0.4767 0.6772 0.0997
S 0.8228 0.9225 0.2995
S 0.1230 0.4225 0.0997
S 0.3770 0.9767 0.7995
S 0.5997 0.6230 0.4225
S 0.9003 0.8228 0.5233
S 0.7995 0.3228 0.9225
S 0.4003 0.3770 0.5775
S 0.0997 0.1772 0.4767
S 0.2005 0.6772 0.0775
S 0.1772 0.0775 0.7005
S 0.6230 0.0233 0.2005
S 0.8770 0.5775 0.9003
S 0.5233 0.3228 0.9003
S 0.5775 0.8770 0.4003
S 0.9225 0.8228 0.7995
S 0.9225 0.0997 0.6230
S 0.8770 0.2995 0.4767
S 0.1772 0.0997 0.9767
S 0.6230 0.5997 0.9225
S 0.4003 0.0233 0.3228
S 0.2995 0.4225 0.8228
S 0.2005 0.5233 0.6230
S 0.9003 0.0775 0.8770
S 0.6772 0.2005 0.5775
S 0.4767 0.7995 0.8770
S 0.0233 0.4003 0.8228
S 0.4225 0.2995 0.3228
S 0.0233 0.6230 0.7005
S 0.6772 0.4767 0.5997
S 0.2995 0.8770 0.9767
```


For the records above, the corresponding density of states at the Fermi level values read 4.08 17.47 states/eV per cell.
For the records above, the corresponding final energy values read -24.12 -461.77 eV/cell.